First-principles (PBE-GGA) data for a relaxed structure of SiGeN, as listed in the Alexandria database.

```
SiGeN
1.0
2.8736 0.0069 -0.0102
1.4428 2.5085 -0.0157
0.6221 0.8813 12.8304
Ge Si N
2 2 2
direct
0.0168 0.0909 0.0673
0.0124 0.0134 0.2822
0.3451 0.1841 0.6917
0.0200 0.9227 0.4788
0.3503 0.2313 0.5515
0.6754 0.5060 0.7308
```

Summary:
ΔE to the lowest computed polymorph in meV/atom: 173
Space-group type: P1



First-principles (PBE-GGA) data for a relaxed structure of LaAg2Sn2, as listed in the Alexandria database.

```
LaAg2Sn2
1.0
-2.4803 3.6841 -7.4613
-6.0000 -6.1865 -1.0601
-2.1404 1.8016 1.6011
Sn Ag La
4 4 2
direct
0.8570 0.6430 0.0000
0.3570 0.8570 0.0000
0.1430 0.3570 0.0000
0.6430 0.1430 0.0000
0.1511 0.6511 0.5000
0.6511 0.8489 0.5000
0.3489 0.1511 0.5000
0.8489 0.3489 0.5000
0.0000 0.0000 0.0000
0.5000 0.5000 0.0000
```

Summary:
Space-group type: P4/mbm
Energy of formation in eV per atom: -0.1893



First-principles (PBE-GGA) data for a relaxed structure of Na2YO, as listed in the Alexandria database.

```
Na2YO
1.0
-6.6725 1.7372 -0.0654
-0.7930 -2.8108 6.2462
-2.6416 3.7319 5.1499
Y Na O
2 4 2
direct
0.0000 0.0000 0.0000
0.7500 0.2500 0.5000
0.3817 0.6250 0.2500
0.3750 0.6317 0.7500
0.3683 0.1250 0.2500
0.8750 0.6183 0.7500
0.2500 0.7500 0.5000
0.5000 0.5000 0.0000
```

Summary:
VASP energy in eV per atom: -3.71
Space-group type: I-42d



First-principles (PBE-GGA) data for a relaxed structure of Ga2Sb2Pb, as listed in the Alexandria database.

```
Ga2Sb2Pb
1.0
-3.1756 -0.1797 4.3529
-2.5713 -4.2710 -2.0522
0.0966 -4.9996 3.2027
Ga Sb Pb
2 2 1
direct
0.6378 0.6378 0.7244
0.3622 0.3622 0.2756
0.2500 0.7500 0.5000
0.7500 0.2500 0.5000
0.0000 0.0000 0.0000
```

Summary:
ΔE to the lowest computed polymorph in meV/atom: 17
Space-group type: I4/mmm



First-principles (PBE-GGA) data for a relaxed structure of RbLi2HgOs, as listed in the Alexandria database.

```
RbLi2HgOs
1.0
-1.2062 -0.9221 -4.2382
-2.6504 -4.5981 1.7547
-3.7757 2.3882 0.5550
Li Rb Hg Os
2 1 1 1
direct
0.5000 0.0000 0.0000
0.0000 0.0000 0.5000
0.0000 0.0000 0.0000
0.0000 0.5000 0.0000
0.5000 0.5000 0.5000
```

Summary:
Space-group type: P4/mmm
Energy of formation in eV per atom: 1.7459



First-principles (PBE-GGA) data for a relaxed structure of LiTl2Cd, as listed in the Alexandria database.

```
LiTl2Cd
1.0
-3.7601 1.3484 3.4105
-0.1714 -2.2476 4.7441
1.2137 2.7972 4.2767
Tl Li Cd
2 1 1
direct
0.0000 0.0000 0.0000
0.7500 0.7500 0.7500
0.2500 0.2500 0.2500
0.5000 0.5000 0.5000
```

Summary:
Space-group type: F-43m
Energy of formation in eV per atom: -0.0350



First-principles (PBE-GGA) data for a relaxed structure of La5CuCl5, as listed in the Alexandria database.

```
La5CuCl5
1.0
5.8302 0.0000 0.0000
-2.9151 6.0685 -2.1913
0.0000 0.0881 8.4745
La Cl Cu
5 5 1
direct
0.8228 0.6456 0.1565
0.5000 0.0000 0.0000
0.8377 0.6754 0.6756
0.1772 0.3544 0.8435
0.1623 0.3246 0.3244
0.6551 0.3102 0.3487
0.6555 0.3109 0.8092
0.3445 0.6891 0.1908
0.0000 0.0000 0.5000
0.3449 0.6898 0.6513
0.0000 0.0000 0.0000
```

Summary:
VASP energy in eV per atom: -4.93
Space-group type: C2/m



First-principles (PBE-GGA) data for a relaxed structure of Sr2PaMnSe6, as listed in the Alexandria database.

```
Sr2PaMnSe6
1.0
7.0631 0.0000 -0.0796
0.0000 7.6008 0.0000
-0.0523 0.0000 10.1649
Pa Se Sr Mn
2 12 4 2
direct
0.5000 0.0000 0.0000
0.0000 0.5000 0.5000
0.3139 0.6977 0.4487
0.8139 0.8023 0.9487
0.8991 0.5168 0.2369
0.6861 0.3023 0.5513
0.1009 0.4832 0.7631
0.3991 0.9832 0.7369
0.1861 0.1977 0.0513
0.6987 0.3137 0.9515
0.6009 0.0168 0.2631
0.8013 0.8137 0.5485
0.3013 0.6863 0.0485
0.1987 0.1863 0.4515
0.5300 0.5888 0.7460
0.9700 0.0888 0.7540
0.0300 0.9112 0.2460
0.4700 0.4112 0.2540
0.0000 0.5000 0.0000
0.5000 0.0000 0.5000
```

Summary:
VASP energy in eV per atom: -5.66
Space-group type: P2_1/c